Record 1
Entry from Alexandria: crystalline RbHg7 at its relaxed geometry (PBE).

raw total energy = -3.96 eV for the cell shown
formation enthalpy at 0 K = -111 meV/atom
Fermi-level density of states = 0.385 states/eV/atom
excess energy over the best structure of this formula in the dataset = 0.000 eV/atom

Cell: 7.1429 7.1429 5.7292 Å, 90.00 90.00 120.00°
Space group P-6m2 (No. 187)
One atom of each set of equivalent atoms:
Rb1 0.0000 0.0000 0.0000
Hg1 0.0034 0.5017 0.0000
Hg2 0.3333 0.6667 0.5000
Hg3 0.3592 0.1796 0.5000

***

Record 2
Entry from Alexandria: crystalline RbHg5 at its relaxed geometry (PBE).

raw total energy = -6.75 eV for the cell shown
formation enthalpy at 0 K = -150 meV/atom
Fermi-level density of states = 0.406 states/eV/atom
excess energy over the best structure of this formula in the dataset = 0.000 eV/atom

Cell: 5.609 12.668 5.631 Å, 90.00 90.00 90.00°
Space group Cmmm (No. 65)
One atom of each set of equivalent atoms:
Rb1 0.000 0.000 0.000
Hg1 0.000 0.184 0.500
Hg2 0.000 0.313 0.000
Hg3 0.000 0.500 0.500